1.
DFT (GGA-PBE) results for a relaxed AuCSeBr2 crystal.

Calculated values
Offset from the most stable computed form = 0.000 eV/atom
SG = P4/mmm, No. 123
E_tot = -2.60 eV per atom
Formation energy without anion corrections = 1.2651 eV per atom

Lattice parameters (Å, degrees): 4.935 4.935 4.250 90.00 90.00 90.00
Atoms (fractional coordinates):
Br  0.000  0.500  0.000
C  0.000  0.000  0.000
Au  0.500  0.500  0.500
Br  0.500  0.000  0.000
Se  0.000  0.000  0.500

***

2.
DFT (GGA-PBE) results for a relaxed Tl2AgSb2 crystal.

Calculated values
Offset from the most stable computed form = 0.170 eV/atom
SG = I4/mmm, No. 139
E_tot = -2.97 eV per atom
Formation energy without anion corrections = 0.1962 eV per atom

Lattice parameters (Å, degrees): 4.192 4.192 9.410 77.13 77.13 90.00
Atoms (fractional coordinates):
Sb  0.750  0.250  0.500
Tl  0.407  0.407  0.185
Sb  0.250  0.750  0.500
Tl  0.593  0.593  0.815
Ag  0.000  0.000  0.000